No. 1
DFT (PBE) results for crystalline Cr2BiP at its relaxed geometry.

a = 4.4496 Å, b = 4.4496 Å, c = 4.4496 Å
α = 60.00°, β = 60.00°, γ = 60.00°
Each line ends with the local moment (μB).
Sites, in units of the cell vectors:
1 P 0.0000 0.0000 0.0000  -0.14
2 Bi 0.5000 0.5000 0.5000  -0.12
3 Cr 0.7500 0.7500 0.7500  1.36
4 Cr 0.2500 0.2500 0.2500  1.36

Properties
ρ: 9.168 g/cm3
formation energy from the elements: 0.57 eV per atom
ΔE to the lowest computed polymorph: 24 meV/atom
total moment: 2.544 Bohr magnetons per cell

---

No. 2
DFT (PBE) results for crystalline CrAgTe2 at its relaxed geometry.

a = 7.6157 Å, b = 7.6157 Å, c = 7.6157 Å
α = 31.35°, β = 31.35°, γ = 31.35°
Each line ends with the local moment (μB).
Sites, in units of the cell vectors:
1 Te 0.2664 0.2664 0.2664  -0.10
2 Te 0.7316 0.7316 0.7316  -0.15
3 Ag 0.8568 0.8568 0.8568  -0.02
4 Cr 0.0012 0.0012 0.0012  3.10

Properties
ρ: 6.494 g/cm3
E_form (uncorrected): -0.13 eV per atom
total moment: 3.011 Bohr magnetons per cell

---

No. 3
DFT (PBE) results for crystalline NdAlSn2 at its relaxed geometry.

a = 4.7060 Å, b = 4.6236 Å, c = 4.6236 Å
α = 90.00°, β = 90.00°, γ = 90.00°
Sites, in units of the cell vectors:
1 Nd 0.5000 0.0000 0.0000
2 Al 0.5000 0.5000 0.5000
3 Sn 0.0000 0.5000 0.0000
4 Sn 0.0000 0.0000 0.5000

Properties
ρ: 6.745 g/cm3
formation energy from the elements: -0.43 eV per atom
total moment: 0.000 Bohr magnetons per cell

---

No. 4
DFT (PBE) results for crystalline AgHg3Pd5 at its relaxed geometry.

a = 6.9979 Å, b = 6.9979 Å, c = 9.3584 Å
α = 80.59°, β = 80.59°, γ = 66.02°
Sites, in units of the cell vectors:
1 Pd 0.4597 0.4597 0.2791
2 Pd 0.2582 0.8832 0.2396
3 Pd 0.5403 0.5403 0.7209
4 Pd 0.7418 0.1168 0.7604
5 Pd 0.8832 0.2582 0.2396
6 Pd 0.3198 0.3198 0.8669
7 Pd 0.1168 0.7418 0.7604
8 Pd 0.6638 0.3362 0.0000
9 Pd 0.6802 0.6802 0.1331
10 Pd 0.3362 0.6638 0.0000
11 Hg 0.3631 0.3631 0.5617
12 Hg 0.7283 0.7283 0.8366
13 Hg 0.0000 0.0000 0.0000
14 Hg 0.6369 0.6369 0.4383
15 Hg 0.2717 0.2717 0.1634
16 Hg 0.0000 0.0000 0.5000
17 Ag 0.1390 0.1390 0.7190
18 Ag 0.8610 0.8610 0.2810

Properties
ρ: 10.042 g/cm3
formation energy from the elements: 0.19 eV per atom
ΔE to the lowest computed polymorph: 306 meV/atom
total moment: 0.000 Bohr magnetons per cell

---

No. 5
DFT (PBE) results for crystalline Ta2CoRh at its relaxed geometry.

a = 4.8197 Å, b = 4.8197 Å, c = 4.7651 Å
α = 79.61°, β = 79.61°, γ = 34.36°
Sites, in units of the cell vectors:
1 Rh 0.2382 0.2382 0.2287
2 Co 0.5033 0.5033 0.5352
3 Ta 0.7647 0.7647 0.6981
4 Ta 0.9939 0.9939 0.0380

Properties
ρ: 14.176 g/cm3
formation energy from the elements: -0.22 eV per atom
total moment: 0.000 Bohr magnetons per cell

---

No. 6
DFT (PBE) results for crystalline Cs4Rb2ZnPb2 at its relaxed geometry.

a = 7.4223 Å, b = 9.2338 Å, c = 9.2338 Å
α = 56.83°, β = 76.35°, γ = 76.35°
Sites, in units of the cell vectors:
1 Cs 0.7555 0.8812 0.3534
2 Cs 0.7555 0.3534 0.8812
3 Cs 0.2445 0.1188 0.6466
4 Cs 0.2445 0.6466 0.1188
5 Pb 0.2467 0.1570 0.1570
6 Pb 0.7533 0.8430 0.8430
7 Rb 0.7879 0.3395 0.3395
8 Rb 0.2121 0.6605 0.6605
9 Zn 0.5000 0.0000 0.0000

Properties
ρ: 3.847 g/cm3
formation energy from the elements: -0.02 eV per atom
total moment: 0.000 Bohr magnetons per cell

---

No. 7
DFT (PBE) results for crystalline Na3Ga5Ag6 at its relaxed geometry.

a = 4.5907 Å, b = 9.0761 Å, c = 13.6108 Å
α = 90.00°, β = 90.00°, γ = 90.00°
Sites, in units of the cell vectors:
1 Ag 0.0000 0.4255 0.5000
2 Ag 0.5000 0.9287 0.0000
3 Ag 0.0000 0.9684 0.1344
4 Ag 0.5000 0.0316 0.6344
5 Ag 0.5000 0.3945 0.1743
6 Ag 0.0000 0.0713 0.5000
7 Ag 0.5000 0.5745 0.0000
8 Ag 0.5000 0.0316 0.3656
9 Ag 0.0000 0.6055 0.6743
10 Ag 0.0000 0.9684 0.8656
11 Ag 0.5000 0.3945 0.8257
12 Ag 0.0000 0.6055 0.3257
13 Ga 0.5000 0.1028 0.1696
14 Ga 0.5000 0.4653 0.6289
15 Ga 0.5000 0.2443 0.5000
16 Ga 0.5000 0.1028 0.8304
17 Ga 0.0000 0.5347 0.1289
18 Ga 0.0000 0.8972 0.3304
19 Ga 0.0000 0.8972 0.6696
20 Ga 0.5000 0.4653 0.3711
21 Ga 0.0000 0.5347 0.8711
22 Ga 0.0000 0.7557 0.0000
23 Na 0.5000 0.7510 0.7956
24 Na 0.0000 0.2448 0.0000
25 Na 0.0000 0.2490 0.2956
26 Na 0.5000 0.7552 0.5000
27 Na 0.0000 0.2490 0.7044
28 Na 0.5000 0.7510 0.2044

Properties
ρ: 6.236 g/cm3
formation energy from the elements: -0.07 eV per atom
total moment: 0.000 Bohr magnetons per cell

---

No. 8
DFT (PBE) results for crystalline TcS2I at its relaxed geometry.

a = 8.2285 Å, b = 8.2285 Å, c = 8.2285 Å
α = 25.47°, β = 25.47°, γ = 25.47°
Each line ends with the local moment (μB).
Sites, in units of the cell vectors:
1 S 0.1139 0.1139 0.1139  0.04
2 S 0.8861 0.8861 0.8861  0.04
3 I 0.0000 0.0000 0.0000  -0.02
4 Tc 0.5000 0.5000 0.5000  1.45

Properties
ρ: 5.294 g/cm3
E_form (uncorrected): -0.05 eV per atom
ΔE to the lowest computed polymorph: 87 meV/atom
total moment: 1.679 Bohr magnetons per cell

---

No. 9
DFT (PBE) results for crystalline RbBeI2O at its relaxed geometry.

a = 6.9363 Å, b = 6.9363 Å, c = 4.9121 Å
α = 90.00°, β = 90.00°, γ = 90.00°
Each line ends with the local moment (μB).
Sites, in units of the cell vectors:
1 I 0.5000 0.0000 0.0000  0.02
2 I 0.0000 0.5000 0.0000  0.02
3 O 0.0000 0.0000 0.5000  -0.08
4 Rb 0.0000 0.0000 0.0000  -0.01
5 Be 0.5000 0.5000 0.5000  -0.01

Properties
ρ: 2.560 g/cm3
E_form (uncorrected): 0.93 eV per atom
ΔE to the lowest computed polymorph: 1984 meV/atom
total moment: 0.069 Bohr magnetons per cell

---

No. 10
DFT (PBE) results for crystalline Pr6Nd3Y2Er at its relaxed geometry.

a = 6.3707 Å, b = 6.3707 Å, c = 12.0692 Å
α = 95.04°, β = 95.04°, γ = 120.02°
Sites, in units of the cell vectors:
1 Nd 0.1666 0.8334 0.5000
2 Nd 0.5000 0.5000 0.5000
3 Nd 0.8334 0.1666 0.5000
4 Pr 0.4148 0.0826 0.2461
5 Pr 0.9174 0.5852 0.7539
6 Pr 0.2496 0.2496 0.7537
7 Pr 0.7504 0.7504 0.2463
8 Pr 0.5852 0.9174 0.7539
9 Pr 0.0826 0.4148 0.2461
10 Er 0.0000 0.0000 0.0000
11 Y 0.3334 0.6666 0.0000
12 Y 0.6666 0.3334 0.0000

Properties
ρ: 6.456 g/cm3
formation energy from the elements: 0.01 eV per atom
total moment: 0.000 Bohr magnetons per cell

---

No. 11
DFT (PBE) results for crystalline Pm2SmDySc at its relaxed geometry.

a = 7.1584 Å, b = 8.2403 Å, c = 7.0400 Å
α = 125.82°, β = 90.00°, γ = 90.00°
Sites, in units of the cell vectors:
1 Pm 0.5000 0.3011 0.0000
2 Pm 0.0000 0.6989 0.0000
3 Pm 0.5000 0.6989 0.0000
4 Pm 0.0000 0.3011 0.0000
5 Dy 0.7500 0.7416 0.4831
6 Dy 0.2500 0.2584 0.5169
7 Sc 0.7500 0.0110 0.0219
8 Sc 0.2500 0.9890 0.9781
9 Sm 0.7500 0.2726 0.5451
10 Sm 0.2500 0.7274 0.4549

Properties
ρ: 6.389 g/cm3
formation energy from the elements: 0.35 eV per atom
total moment: 0.000 Bohr magnetons per cell

---

No. 12
DFT (PBE) results for crystalline Ta6Mo3Ru at its relaxed geometry.

a = 4.5802 Å, b = 7.9223 Å, c = 9.7006 Å
α = 105.90°, β = 90.00°, γ = 90.00°
Sites, in units of the cell vectors:
1 Ru 0.2500 0.9500 0.5979
2 Ru 0.7500 0.0500 0.4021
3 Mo 0.7500 0.6517 0.2015
4 Mo 0.2500 0.7537 0.9995
5 Mo 0.7500 0.2463 0.0005
6 Mo 0.7500 0.4507 0.6005
7 Mo 0.2500 0.3483 0.7985
8 Mo 0.2500 0.5493 0.3995
9 Ta 0.2500 0.1502 0.2018
10 Ta 0.7500 0.7521 0.4966
11 Ta 0.2500 0.2479 0.5034
12 Ta 0.7500 0.1523 0.6967
13 Ta 0.2500 0.6446 0.6956
14 Ta 0.7500 0.5450 0.8990
15 Ta 0.7500 0.3554 0.3044
16 Ta 0.7500 0.9457 0.1023
17 Ta 0.7500 0.8498 0.7982
18 Ta 0.2500 0.0543 0.8977
19 Ta 0.2500 0.8477 0.3033
20 Ta 0.2500 0.4550 0.1010

Properties
ρ: 14.466 g/cm3
formation energy from the elements: -0.23 eV per atom
total moment: 0.000 Bohr magnetons per cell

---

What did the seventh record say?
DFT (PBE) results for crystalline Na3Ga5Ag6 at its relaxed geometry.

a = 4.5907 Å, b = 9.0761 Å, c = 13.6108 Å
α = 90.00°, β = 90.00°, γ = 90.00°
Sites, in units of the cell vectors:
1 Ag 0.0000 0.4255 0.5000
2 Ag 0.5000 0.9287 0.0000
3 Ag 0.0000 0.9684 0.1344
4 Ag 0.5000 0.0316 0.6344
5 Ag 0.5000 0.3945 0.1743
6 Ag 0.0000 0.0713 0.5000
7 Ag 0.5000 0.5745 0.0000
8 Ag 0.5000 0.0316 0.3656
9 Ag 0.0000 0.6055 0.6743
10 Ag 0.0000 0.9684 0.8656
11 Ag 0.5000 0.3945 0.8257
12 Ag 0.0000 0.6055 0.3257
13 Ga 0.5000 0.1028 0.1696
14 Ga 0.5000 0.4653 0.6289
15 Ga 0.5000 0.2443 0.5000
16 Ga 0.5000 0.1028 0.8304
17 Ga 0.0000 0.5347 0.1289
18 Ga 0.0000 0.8972 0.3304
19 Ga 0.0000 0.8972 0.6696
20 Ga 0.5000 0.4653 0.3711
21 Ga 0.0000 0.5347 0.8711
22 Ga 0.0000 0.7557 0.0000
23 Na 0.5000 0.7510 0.7956
24 Na 0.0000 0.2448 0.0000
25 Na 0.0000 0.2490 0.2956
26 Na 0.5000 0.7552 0.5000
27 Na 0.0000 0.2490 0.7044
28 Na 0.5000 0.7510 0.2044

Properties
ρ: 6.236 g/cm3
formation energy from the elements: -0.07 eV per atom
total moment: 0.000 Bohr magnetons per cell